A plane-wave DFT calculation with PBE-GGA was carried out for AcSm2O after structural relaxation.

Properties
energy relative to the elements, uncorrected	-0.69	eV/atom
offset from the most stable computed form	464	meV/atom

Geometry as CIF:
```
data_AcSm2O
_symmetry_space_group_name_H-M 'P 4/m m m'
_symmetry_Int_Tables_number 123
_symmetry_space_group_name_Hall '-P 4 2'
_cell_length_a 3.3631
_cell_length_b 3.3631
_cell_length_c 9.0080
_cell_angle_alpha 90.00
_cell_angle_beta 90.00
_cell_angle_gamma 90.00
loop_
_atom_site_label
_atom_site_fract_x
_atom_site_fract_y
_atom_site_fract_z
Ac1 0.0000 0.0000 0.0000
Sm1 0.5000 0.5000 0.3283
O1 0.0000 0.0000 0.5000
```


A plane-wave DFT calculation with PBE-GGA was carried out for AcSmO after structural relaxation.

Properties
energy relative to the elements, uncorrected	-1.54	eV/atom
offset from the most stable computed form	63	meV/atom

Geometry as CIF:
```
data_AcSmO
_symmetry_space_group_name_H-M 'I 4 m m'
_symmetry_Int_Tables_number 107
_symmetry_space_group_name_Hall 'I 4 -2'
_cell_length_a 3.4556
_cell_length_b 3.4556
_cell_length_c 13.8153
_cell_angle_alpha 90.00
_cell_angle_beta 90.00
_cell_angle_gamma 90.00
loop_
_atom_site_label
_atom_site_fract_x
_atom_site_fract_y
_atom_site_fract_z
Ac1 0.0000 0.0000 0.0000
Sm1 0.0000 0.0000 0.2833
O1 0.0000 0.0000 0.8138
```


Repeat the first record exactly.
A plane-wave DFT calculation with PBE-GGA was carried out for AcSm2O after structural relaxation.

Properties
energy relative to the elements, uncorrected	-0.69	eV/atom
offset from the most stable computed form	464	meV/atom

Geometry as CIF:
```
data_AcSm2O
_symmetry_space_group_name_H-M 'P 4/m m m'
_symmetry_Int_Tables_number 123
_symmetry_space_group_name_Hall '-P 4 2'
_cell_length_a 3.3631
_cell_length_b 3.3631
_cell_length_c 9.0080
_cell_angle_alpha 90.00
_cell_angle_beta 90.00
_cell_angle_gamma 90.00
loop_
_atom_site_label
_atom_site_fract_x
_atom_site_fract_y
_atom_site_fract_z
Ac1 0.0000 0.0000 0.0000
Sm1 0.5000 0.5000 0.3283
O1 0.0000 0.0000 0.5000
```


Q: What is the formula in the first record?
A: AcSm2O


Q: Among the records above, which one has the highest energy relative to the elements, uncorrected?
A: AcSm2O


Q: Among the records above, which one has the lowest energy relative to the elements, uncorrected?
A: AcSmO